Here is a relaxed structure of NpZnGa from the Open Quantum Materials Database. Energies are from GGA-PBE.

The calculation puts the theoretical density at 11.384 g/cm3. As for the crystal system: orthorhombic. Its uncorrected energy is -17.6 eV/f.u. As for the space group: Pnma, No. 62.

Lattice parameters (Å, degrees): 7.665 3.448 8.216 90.00 90.00 90.00
Each line ends with the local moment (μB).
Sites, in units of the cell vectors:
1 Ga 0.679 0.750 0.129  -0.01
2 Ga 0.321 0.250 0.871  -0.01
3 Ga 0.821 0.250 0.629  -0.01
4 Ga 0.179 0.750 0.371  -0.01
5 Zn 0.346 0.750 0.104  0.00
6 Zn 0.154 0.250 0.604  0.00
7 Zn 0.654 0.250 0.896  0.00
8 Zn 0.846 0.750 0.396  0.00
9 Np 0.495 0.750 0.601  0.32
10 Np 0.505 0.250 0.399  0.32
11 Np 0.995 0.750 0.899  0.35
12 Np 0.005 0.250 0.101  0.34

---

Here is a relaxed structure of TbGdAg2O4 from the Open Quantum Materials Database. Energies are from GGA-PBE.

The calculation puts the theoretical density at 7.348 g/cm3. As for the crystal system: trigonal. Its uncorrected energy is -52.8 eV/f.u. As for the space group: P-3m1, No. 164.

Lattice parameters (Å, degrees): 3.529 3.529 12.485 90.00 90.00 120.00
Sites, in units of the cell vectors:
1 O 0.667 0.333 0.585
2 O 0.333 0.667 0.084
3 O 0.667 0.333 0.916
4 O 0.333 0.667 0.415
5 Gd 0.000 0.000 0.500
6 Ag 0.333 0.667 0.249
7 Ag 0.667 0.333 0.751
8 Tb 0.000 0.000 0.000

---

Here is a relaxed structure of As2Au2Br5 from the Open Quantum Materials Database. Energies are from GGA-PBE.

The calculation puts the theoretical density at 5.405 g/cm3. As for the crystal system: trigonal. Its uncorrected energy is -22.1 eV/f.u. As for the space group: R3m, No. 160.

Lattice parameters (Å, degrees): 17.223 17.223 17.223 14.79 14.79 14.79
Sites, in units of the cell vectors:
1 As 0.068 0.068 0.068
2 As 0.897 0.897 0.897
3 Br 0.388 0.388 0.388
4 Br 0.255 0.255 0.255
5 Br 0.539 0.539 0.539
6 Br 0.989 0.989 0.989
7 Br 0.138 0.138 0.138
8 Au 0.316 0.316 0.316
9 Au 0.478 0.478 0.478

---

Here is a relaxed structure of ScAuSO from the Open Quantum Materials Database. Energies are from GGA-PBE.

The offset from the most stable computed form comes out at 245 meV per atom. The calculation puts the theoretical density at 7.522 g/cm3. As for the crystal system: tetragonal. As for the space group: P4mm, No. 99.

Lattice parameters (Å, degrees): 5.320 5.320 9.049 90.00 90.00 90.00
Sites, in units of the cell vectors:
1 Au 0.750 0.250 0.500
2 Au 0.250 0.250 0.500
3 Au 0.750 0.750 0.500
4 Au 0.250 0.750 0.500
5 S 0.000 0.000 0.726
6 S 0.500 0.500 0.726
7 S 0.500 0.000 0.274
8 S 0.000 0.500 0.274
9 Sc 0.500 0.000 0.891
10 Sc 0.000 0.500 0.891
11 Sc 0.500 0.500 0.110
12 Sc 0.000 0.000 0.109
13 O 0.750 0.250 0.000
14 O 0.250 0.250 0.000
15 O 0.750 0.750 0.000
16 O 0.250 0.750 0.000

---

Here is a relaxed structure of NaCdInAg from the Open Quantum Materials Database. Energies are from GGA-PBE.

The offset from the most stable computed form comes out at 0 meV per atom. The calculation puts the theoretical density at 6.742 g/cm3. As for the crystal system: cubic. As for the space group: F-43m, No. 216.

Lattice parameters (Å, degrees): 4.996 4.996 4.996 60.00 60.00 60.00
Sites, in units of the cell vectors:
1 Na 0.750 0.750 0.750
2 Cd 0.500 0.500 0.500
3 In 0.250 0.250 0.250
4 Ag 0.000 0.000 0.000

---

Here is a relaxed structure of SiAsOsO from the Open Quantum Materials Database. Energies are from GGA-PBE.

The offset from the most stable computed form comes out at 16 meV per atom. The calculation puts the theoretical density at 8.900 g/cm3. As for the crystal system: orthorhombic. As for the space group: Pmc2_1, No. 26.

Lattice parameters (Å, degrees): 2.855 6.020 6.714 90.00 90.00 90.00
Sites, in units of the cell vectors:
1 Si 0.500 0.565 0.577
2 Si 0.500 0.435 0.077
3 Os 0.000 0.250 0.517
4 Os 0.000 0.750 0.017
5 As 0.000 0.156 0.875
6 As 0.000 0.844 0.375
7 O 0.500 0.278 0.285
8 O 0.500 0.722 0.785

---

Here is a relaxed structure of Sm6InCo2 from the Open Quantum Materials Database. Energies are from GGA-PBE.

The calculation puts the theoretical density at 7.856 g/cm3. As for the crystal system: orthorhombic. Its uncorrected energy is -47.1 eV/f.u. As for the space group: Immm, No. 71.

Lattice parameters (Å, degrees): 8.547 8.547 8.547 112.17 109.30 106.99
Sites, in units of the cell vectors:
1 Sm 0.470 0.265 0.205
2 Sm 0.684 0.786 0.470
3 Sm 0.316 0.214 0.530
4 Sm 0.060 0.265 0.795
5 Sm 0.684 0.214 0.898
6 Sm 0.823 0.137 0.313
7 Sm 0.177 0.490 0.313
8 Sm 0.940 0.735 0.205
9 Sm 0.823 0.510 0.687
10 Sm 0.177 0.863 0.687
11 Sm 0.530 0.735 0.795
12 Sm 0.316 0.786 0.102
13 Co 0.388 0.888 0.500
14 Co 0.162 0.500 0.662
15 Co 0.612 0.112 0.500
16 Co 0.838 0.500 0.338
17 In 0.500 0.500 0.000
18 In 0.000 0.000 0.000

---

Here is a relaxed structure of Sc3NiS6 from the Open Quantum Materials Database. Energies are from GGA-PBE.

The calculation puts the theoretical density at 3.299 g/cm3. As for the crystal system: trigonal. Its uncorrected energy is -63.0 eV/f.u. As for the space group: P-31c, No. 163.

Lattice parameters (Å, degrees): 6.334 6.334 11.182 90.00 90.00 120.00
Each line ends with the local moment (μB).
Sites, in units of the cell vectors:
1 S 0.972 0.650 0.629  0.02
2 S 0.028 0.350 0.371  0.02
3 S 0.321 0.972 0.371  0.02
4 S 0.350 0.028 0.871  0.02
5 S 0.028 0.679 0.129  0.02
6 S 0.972 0.321 0.871  0.02
7 S 0.350 0.321 0.629  0.02
8 S 0.650 0.679 0.371  0.02
9 S 0.321 0.350 0.129  0.03
10 S 0.650 0.972 0.129  0.02
11 S 0.679 0.650 0.871  0.03
12 S 0.679 0.028 0.629  0.02
13 Sc 0.000 0.000 0.000  0.05
14 Sc 0.667 0.333 0.481  0.03
15 Sc 0.000 0.000 0.500  0.06
16 Sc 0.333 0.667 0.981  0.03
17 Sc 0.667 0.333 0.019  0.03
18 Sc 0.333 0.667 0.519  0.03
19 Ni 0.333 0.667 0.250  0.66
20 Ni 0.667 0.333 0.750  0.66

---

Here is a relaxed structure of PIrO4 from the Open Quantum Materials Database. Energies are from GGA-PBE.

The offset from the most stable computed form comes out at 0 meV per atom. The calculation puts the theoretical density at 5.407 g/cm3. As for the crystal system: hexagonal. As for the space group: P6_422, No. 181.

Lattice parameters (Å, degrees): 4.678 4.678 13.963 90.00 90.00 120.00
Sites, in units of the cell vectors:
1 P 0.000 0.500 0.333
2 P 0.500 0.000 0.000
3 P 0.500 0.500 0.667
4 Ir 0.500 0.500 0.167
5 Ir 0.000 0.500 0.833
6 Ir 0.500 0.000 0.500
7 O 0.183 0.800 0.941
8 O 0.800 0.617 0.275
9 O 0.383 0.183 0.608
10 O 0.200 0.383 0.275
11 O 0.617 0.800 0.059
12 O 0.800 0.183 0.392
13 O 0.383 0.200 0.059
14 O 0.200 0.817 0.392
15 O 0.183 0.383 0.725
16 O 0.817 0.200 0.941
17 O 0.817 0.617 0.725
18 O 0.617 0.817 0.608

---

Here is a relaxed structure of GdBiN2O from the Open Quantum Materials Database. Energies are from GGA-PBE.

The calculation puts the theoretical density at 9.291 g/cm3. As for the crystal system: tetragonal. Its uncorrected energy is -30.9 eV/f.u. As for the space group: P4/mmm, No. 123.

Lattice parameters (Å, degrees): 4.202 4.202 4.153 90.00 90.00 90.00
Sites, in units of the cell vectors:
1 Gd 0.500 0.500 0.000
2 N 0.000 0.500 0.500
3 N 0.500 0.000 0.500
4 O 0.000 0.000 0.000
5 Bi 0.000 0.000 0.500

---

Here is a relaxed structure of Ta4TlNiC2 from the Open Quantum Materials Database. Energies are from GGA-PBE.

The calculation puts the theoretical density at 14.216 g/cm3. As for the crystal system: hexagonal. Its uncorrected energy is -76.2 eV/f.u. As for the space group: P-6m2, No. 187.

Lattice parameters (Å, degrees): 3.143 3.143 13.803 90.00 90.00 120.00
Sites, in units of the cell vectors:
1 Ta 0.667 0.333 0.142
2 Ta 0.667 0.333 0.858
3 Ta 0.000 0.000 0.321
4 Ta 0.000 0.000 0.679
5 C 0.333 0.667 0.232
6 C 0.333 0.667 0.768
7 Ni 0.000 0.000 0.000
8 Tl 0.667 0.333 0.500

---

Here is a relaxed structure of LaHoTeO2 from the Open Quantum Materials Database. Energies are from GGA-PBE.

The calculation puts the theoretical density at 7.548 g/cm3. As for the crystal system: tetragonal. Its uncorrected energy is -37.4 eV/f.u. As for the space group: I4mm, No. 107.

Lattice parameters (Å, degrees): 6.969 6.969 6.969 146.64 146.64 47.90
Sites, in units of the cell vectors:
1 Te 0.995 0.995 0.000
2 La 0.657 0.657 0.000
3 O 0.256 0.756 0.500
4 O 0.756 0.256 0.500
5 Ho 0.336 0.336 0.000

---

Here is a relaxed structure of BiAuNO from the Open Quantum Materials Database. Energies are from GGA-PBE.

The offset from the most stable computed form comes out at 213 meV per atom. The calculation puts the theoretical density at 10.314 g/cm3. As for the crystal system: orthorhombic. As for the space group: Pmc2_1, No. 26.

Lattice parameters (Å, degrees): 3.993 5.835 6.024 90.00 90.00 90.00
Sites, in units of the cell vectors:
1 N 0.000 0.397 0.664
2 N 0.000 0.897 0.336
3 Bi 0.000 0.996 0.711
4 Bi 0.000 0.496 0.289
5 Au 0.500 0.452 0.718
6 Au 0.500 0.952 0.282
7 O 0.500 0.409 0.157
8 O 0.500 0.909 0.843

---

Here is a relaxed structure of Co from the Open Quantum Materials Database. Energies are from GGA-PBE.

The energy relative to the elements comes out at 0.06 eV per atom. The offset from the most stable computed form comes out at 59 meV per atom. The calculation puts the theoretical density at 8.953 g/cm3. As for the crystal system: tetragonal. As for the space group: P4_2/mnm, No. 136.

Lattice parameters (Å, degrees): 8.537 8.537 4.499 90.00 90.00 90.00
Each line ends with the local moment (μB).
Sites, in units of the cell vectors:
1 Co 0.038 0.634 0.500  1.68
2 Co 0.538 0.866 0.000  1.69
3 Co 0.182 0.182 0.251  1.69
4 Co 0.763 0.566 0.500  1.64
5 Co 0.818 0.818 0.749  1.69
6 Co 0.462 0.134 0.000  1.69
7 Co 0.000 0.000 0.000  1.56
8 Co 0.402 0.402 0.000  1.72
9 Co 0.818 0.818 0.251  1.70
10 Co 0.634 0.038 0.500  1.72
11 Co 0.066 0.737 0.000  1.60
12 Co 0.962 0.366 0.500  1.68
13 Co 0.318 0.682 0.249  1.70
14 Co 0.366 0.962 0.500  1.72
15 Co 0.134 0.462 0.000  1.72
16 Co 0.318 0.682 0.751  1.71
17 Co 0.500 0.500 0.500  1.57
18 Co 0.902 0.098 0.500  1.73
19 Co 0.182 0.182 0.749  1.70
20 Co 0.682 0.318 0.751  1.70
21 Co 0.098 0.902 0.500  1.73
22 Co 0.434 0.237 0.500  1.60
23 Co 0.737 0.066 0.000  1.63
24 Co 0.263 0.934 0.000  1.63
25 Co 0.866 0.538 0.000  1.72
26 Co 0.934 0.263 0.000  1.60
27 Co 0.598 0.598 0.000  1.72
28 Co 0.682 0.318 0.249  1.71
29 Co 0.566 0.763 0.500  1.60
30 Co 0.237 0.434 0.500  1.64

---

Here is a relaxed structure of NaPuTl from the Open Quantum Materials Database. Energies are from GGA-PBE.

The offset from the most stable computed form comes out at 0 meV per atom. The calculation puts the theoretical density at 7.750 g/cm3. As for the crystal system: cubic. As for the space group: F-43m, No. 216.

Lattice parameters (Å, degrees): 5.227 5.227 5.227 60.00 60.00 60.00
Sites, in units of the cell vectors:
1 Pu 0.750 0.750 0.750
2 Tl 0.000 0.000 0.000
3 Na 0.250 0.250 0.250

---

Here is a relaxed structure of Nb4Te9I4O from the Open Quantum Materials Database. Energies are from GGA-PBE.

The calculation puts the theoretical density at 5.338 g/cm3. As for the crystal system: monoclinic. Its uncorrected energy is -90.0 eV/f.u. As for the space group: C2/c, No. 15.

Lattice parameters (Å, degrees): 11.898 11.898 20.831 121.06 121.06 30.68
Sites, in units of the cell vectors:
1 I 0.337 0.937 0.486
2 I 0.390 0.271 0.781
3 I 0.271 0.390 0.281
4 I 0.663 0.063 0.514
5 I 0.729 0.610 0.719
6 I 0.937 0.337 0.986
7 I 0.063 0.663 0.014
8 I 0.610 0.729 0.219
9 O 0.243 0.757 0.750
10 O 0.757 0.243 0.250
11 Nb 0.118 0.003 0.854
12 Nb 0.997 0.882 0.646
13 Nb 0.882 0.997 0.146
14 Nb 0.377 0.780 0.736
15 Nb 0.780 0.377 0.236
16 Nb 0.220 0.623 0.764
17 Nb 0.003 0.118 0.354
18 Nb 0.623 0.220 0.264
19 Te 0.620 0.333 0.073
20 Te 0.170 0.181 0.832
21 Te 0.951 0.940 0.373
22 Te 0.697 0.303 0.750
23 Te 0.475 0.189 0.099
24 Te 0.830 0.819 0.168
25 Te 0.667 0.380 0.427
26 Te 0.049 0.060 0.627
27 Te 0.189 0.475 0.599
28 Te 0.380 0.667 0.927
29 Te 0.819 0.830 0.668
30 Te 0.181 0.170 0.332
31 Te 0.811 0.525 0.401
32 Te 0.333 0.620 0.573
33 Te 0.525 0.811 0.901
34 Te 0.060 0.049 0.127
35 Te 0.303 0.697 0.250
36 Te 0.940 0.951 0.873

---

Here is a relaxed structure of LuTlCoMo from the Open Quantum Materials Database. Energies are from GGA-PBE.

The offset from the most stable computed form comes out at 70 meV per atom. The calculation puts the theoretical density at 12.008 g/cm3. As for the crystal system: cubic. As for the space group: F-43m, No. 216.

Lattice parameters (Å, degrees): 4.710 4.710 4.710 60.00 60.00 60.00
Each line ends with the local moment (μB).
Sites, in units of the cell vectors:
1 Co 0.750 0.750 0.750  1.51
2 Lu 0.250 0.250 0.250  0.25
3 Mo 0.500 0.500 0.500  1.29
4 Tl 0.000 0.000 0.000  -0.04

---

Here is a relaxed structure of AlOs2Au from the Open Quantum Materials Database. Energies are from GGA-PBE.

The calculation puts the theoretical density at 16.390 g/cm3. As for the crystal system: cubic. Its uncorrected energy is -27.9 eV/f.u. As for the space group: F-43m, No. 216.

Lattice parameters (Å, degrees): 4.424 4.424 4.424 60.00 60.00 60.00
Sites, in units of the cell vectors:
1 Al 0.500 0.500 0.500
2 Os 0.000 0.000 0.000
3 Os 0.750 0.750 0.750
4 Au 0.250 0.250 0.250

---

Here is a relaxed structure of AcNiGe from the Open Quantum Materials Database. Energies are from GGA-PBE.

The calculation puts the theoretical density at 8.229 g/cm3. As for the crystal system: cubic. Its uncorrected energy is -15.4 eV/f.u. As for the space group: F-43m, No. 216.

Lattice parameters (Å, degrees): 4.676 4.676 4.676 60.00 60.00 60.00
Sites, in units of the cell vectors:
1 Ac 0.750 0.750 0.750
2 Ge 0.250 0.250 0.250
3 Ni 0.000 0.000 0.000

---

Here is a relaxed structure of LaYCdIn from the Open Quantum Materials Database. Energies are from GGA-PBE.

The offset from the most stable computed form comes out at 0 meV per atom. The calculation puts the theoretical density at 6.618 g/cm3. As for the crystal system: cubic. As for the space group: F-43m, No. 216.

Lattice parameters (Å, degrees): 5.445 5.445 5.445 60.00 60.00 60.00
Sites, in units of the cell vectors:
1 Y 0.250 0.250 0.250
2 Cd 0.500 0.500 0.500
3 In 0.000 0.000 0.000
4 La 0.750 0.750 0.750